VASP calculation (PBE) on crystalline Mg6ZnIr2 at its relaxed geometry.

Cell lengths 4.2678, 8.5256, 8.5235 Å; angles 90.00, 90.01, 90.00 degrees
Last column: nearest neighbours and their distance in Å.
Fractional positions:
Zn: 0.0000 0.0000 0.5000  8 Mg 2.70-2.80
Zn: 0.5000 0.5000 0.0000  8 Mg 2.70-2.80
Mg: 0.9999 0.9865 0.8160  1 Zn 2.70, 3 Ir 2.81-2.86, 3 Mg 2.88-2.92
Mg: 0.0001 0.3499 0.1501  2 Zn 2.80, 4 Ir 2.81-2.97, 6 Mg 2.88-2.92
Mg: 0.0002 0.3160 0.4865  1 Zn 2.70, 3 Ir 2.81-2.86, 3 Mg 2.88-2.92
Mg: 0.4998 0.8160 0.0135  1 Zn 2.70, 3 Ir 2.81-2.86, 3 Mg 2.88-2.92
Mg: 0.9998 0.6840 0.5135  1 Zn 2.70, 3 Ir 2.81-2.86, 3 Mg 2.88-2.92
Mg: 0.5001 0.1501 0.6501  2 Zn 2.80, 4 Ir 2.81-2.97, 6 Mg 2.88-2.92
Mg: 0.5002 0.1840 0.9865  1 Zn 2.70, 3 Ir 2.81-2.86, 3 Mg 2.88-2.92
Mg: 0.4999 0.5135 0.3160  1 Zn 2.70, 3 Ir 2.81-2.86, 3 Mg 2.88-2.92
Mg: 0.4999 0.8499 0.3499  2 Zn 2.80, 4 Ir 2.81-2.97, 6 Mg 2.88-2.92
Mg: 0.0001 0.0135 0.1840  1 Zn 2.70, 3 Ir 2.81-2.86, 3 Mg 2.88-2.92
Mg: 0.9999 0.6501 0.8499  2 Zn 2.80, 4 Ir 2.81-2.97, 6 Mg 2.88-2.92
Mg: 0.5001 0.4865 0.6840  1 Zn 2.70, 3 Ir 2.81-2.86, 3 Mg 2.88-2.92
Ir: 0.4997 0.8216 0.6784  10 Mg 2.81-2.97, 2 Zn 3.03
Ir: 0.5003 0.1784 0.3216  10 Mg 2.81-2.97, 2 Zn 3.03
Ir: 0.0003 0.3216 0.8216  10 Mg 2.81-2.97, 2 Zn 3.03
Ir: 0.9997 0.6784 0.1784  10 Mg 2.81-2.97, 2 Zn 3.03

## Properties
Formation energy ... -0.25 eV per atom
Crystal system ... tetragonal
ΔE to the lowest computed polymorph ... 0 meV per atom
Space-group type ... No. 136